No. 1
# SrAc2HoSe4 (PBE-GGA, relaxed)
# calculated volume	29.13	A^3/atom
# E_form (uncorrected)	-1838	meV/atom
# total moment	0.0	μB per formula unit
# space-group type	No. 10
# crystal system	monoclinic
data_SrAc2HoSe4
_chemical_formula_sum 'Sr1 Ac2 Ho1 Se4'
_cell_length_a 7.486
_cell_length_b 4.301
_cell_length_c 7.643
_cell_angle_alpha 90.00
_cell_angle_beta 108.75
_cell_angle_gamma 90.00
_symmetry_space_group_name_H-M 'P 1'
_symmetry_Int_Tables_number 1
loop_
_symmetry_equiv_pos_as_xyz
'x,y,z'
loop_
_atom_site_label
_atom_site_type_symbol
_atom_site_fract_x
_atom_site_fract_y
_atom_site_fract_z
Sr1 Sr 0.000 0.000 0.000
Ac1 Ac 0.000 0.500 0.500
Ac2 Ac 0.500 0.000 0.500
Ho1 Ho 0.500 0.500 0.000
Se1 Se 0.256 0.500 0.233
Se2 Se 0.268 0.000 0.775
Se3 Se 0.732 0.000 0.225
Se4 Se 0.744 0.500 0.767


No. 2
# Ac4Tb3HoSe8 (PBE-GGA, relaxed)
# calculated volume	27.64	A^3/atom
# E_form (uncorrected)	-1804	meV/atom
# total moment	0.0	μB per formula unit
# space-group type	No. 166
# crystal system	trigonal
data_Ac4Tb3HoSe8
_chemical_formula_sum 'Ac4 Tb3 Ho1 Se8'
_cell_length_a 8.780
_cell_length_b 8.780
_cell_length_c 8.780
_cell_angle_alpha 56.71
_cell_angle_beta 56.71
_cell_angle_gamma 56.71
_symmetry_space_group_name_H-M 'P 1'
_symmetry_Int_Tables_number 1
loop_
_symmetry_equiv_pos_as_xyz
'x,y,z'
loop_
_atom_site_label
_atom_site_type_symbol
_atom_site_fract_x
_atom_site_fract_y
_atom_site_fract_z
Ac1 Ac 0.000 0.000 0.000
Ac2 Ac 0.000 0.500 0.500
Ac3 Ac 0.500 0.000 0.500
Ac4 Ac 0.500 0.500 0.000
Tb1 Tb 0.000 0.000 0.500
Tb2 Tb 0.000 0.500 0.000
Tb3 Tb 0.500 0.000 0.000
Ho1 Ho 0.500 0.500 0.500
Se1 Se 0.240 0.240 0.240
Se2 Se 0.242 0.739 0.739
Se3 Se 0.261 0.261 0.758
Se4 Se 0.261 0.758 0.261
Se5 Se 0.739 0.242 0.739
Se6 Se 0.739 0.739 0.242
Se7 Se 0.758 0.261 0.261
Se8 Se 0.760 0.760 0.760


No. 3
# Ac3Tb3HoSe8 (PBE-GGA, relaxed)
# calculated volume	29.04	A^3/atom
# E_form (uncorrected)	-1862	meV/atom
# total moment	0.0	μB per formula unit
# space-group type	No. 166
# crystal system	trigonal
data_Ac3Tb3HoSe8
_chemical_formula_sum 'Ac3 Tb3 Ho1 Se8'
_cell_length_a 8.638
_cell_length_b 8.638
_cell_length_c 8.638
_cell_angle_alpha 58.07
_cell_angle_beta 58.07
_cell_angle_gamma 58.07
_symmetry_space_group_name_H-M 'P 1'
_symmetry_Int_Tables_number 1
loop_
_symmetry_equiv_pos_as_xyz
'x,y,z'
loop_
_atom_site_label
_atom_site_type_symbol
_atom_site_fract_x
_atom_site_fract_y
_atom_site_fract_z
Ac1 Ac 0.000 0.500 0.500
Ac2 Ac 0.500 0.000 0.500
Ac3 Ac 0.500 0.500 0.000
Tb1 Tb 0.000 0.000 0.500
Tb2 Tb 0.000 0.500 0.000
Tb3 Tb 0.500 0.000 0.000
Ho1 Ho 0.500 0.500 0.500
Se1 Se 0.240 0.743 0.743
Se2 Se 0.241 0.241 0.241
Se3 Se 0.257 0.257 0.760
Se4 Se 0.257 0.760 0.257
Se5 Se 0.743 0.240 0.743
Se6 Se 0.743 0.743 0.240
Se7 Se 0.759 0.759 0.759
Se8 Se 0.760 0.257 0.257


No. 4
# Ac3TbHo3Se8 (PBE-GGA, relaxed)
# calculated volume	28.69	A^3/atom
# E_form (uncorrected)	-1850	meV/atom
# total moment	0.0	μB per formula unit
# space-group type	No. 166
# crystal system	trigonal
data_Ac3TbHo3Se8
_chemical_formula_sum 'Ac3 Tb1 Ho3 Se8'
_cell_length_a 8.614
_cell_length_b 8.614
_cell_length_c 8.614
_cell_angle_alpha 57.91
_cell_angle_beta 57.91
_cell_angle_gamma 57.91
_symmetry_space_group_name_H-M 'P 1'
_symmetry_Int_Tables_number 1
loop_
_symmetry_equiv_pos_as_xyz
'x,y,z'
loop_
_atom_site_label
_atom_site_type_symbol
_atom_site_fract_x
_atom_site_fract_y
_atom_site_fract_z
Ac1 Ac 0.000 0.500 0.500
Ac2 Ac 0.500 0.000 0.500
Ac3 Ac 0.500 0.500 0.000
Tb1 Tb 0.500 0.500 0.500
Ho1 Ho 0.000 0.000 0.500
Ho2 Ho 0.000 0.500 0.000
Ho3 Ho 0.500 0.000 0.000
Se1 Se 0.234 0.746 0.746
Se2 Se 0.240 0.240 0.240
Se3 Se 0.254 0.254 0.766
Se4 Se 0.254 0.766 0.254
Se5 Se 0.746 0.234 0.746
Se6 Se 0.746 0.746 0.234
Se7 Se 0.760 0.760 0.760
Se8 Se 0.766 0.254 0.254


No. 5
# Ac3Tb2HoSe6 (PBE-GGA, relaxed)
# calculated volume	27.59	A^3/atom
# E_form (uncorrected)	-1806	meV/atom
# total moment	0.0	μB per formula unit
# space-group type	No. 12
# crystal system	monoclinic
data_Ac3Tb2HoSe6
_chemical_formula_sum 'Ac3 Tb2 Ho1 Se6'
_cell_length_a 7.236
_cell_length_b 7.236
_cell_length_c 7.700
_cell_angle_alpha 99.02
_cell_angle_beta 99.02
_cell_angle_gamma 120.13
_symmetry_space_group_name_H-M 'P 1'
_symmetry_Int_Tables_number 1
loop_
_symmetry_equiv_pos_as_xyz
'x,y,z'
loop_
_atom_site_label
_atom_site_type_symbol
_atom_site_fract_x
_atom_site_fract_y
_atom_site_fract_z
Ac1 Ac 0.000 0.000 0.000
Ac2 Ac 0.332 0.668 0.000
Ac3 Ac 0.668 0.332 0.000
Tb1 Tb 0.167 0.833 0.500
Tb2 Tb 0.833 0.167 0.500
Ho1 Ho 0.500 0.500 0.500
Se1 Se 0.096 0.427 0.281
Se2 Se 0.243 0.243 0.721
Se3 Se 0.427 0.096 0.281
Se4 Se 0.573 0.904 0.719
Se5 Se 0.757 0.757 0.279
Se6 Se 0.904 0.573 0.719


No. 6
# AcTbHo2Se6 (PBE-GGA, relaxed)
# calculated volume	30.61	A^3/atom
# E_form (uncorrected)	-1879	meV/atom
# total moment	0.0	μB per formula unit
# space-group type	No. 146
# crystal system	trigonal
data_AcTbHo2Se6
_chemical_formula_sum 'Ac1 Tb1 Ho2 Se6'
_cell_length_a 7.766
_cell_length_b 7.766
_cell_length_c 7.766
_cell_angle_alpha 56.71
_cell_angle_beta 56.71
_cell_angle_gamma 56.71
_symmetry_space_group_name_H-M 'P 1'
_symmetry_Int_Tables_number 1
loop_
_symmetry_equiv_pos_as_xyz
'x,y,z'
loop_
_atom_site_label
_atom_site_type_symbol
_atom_site_fract_x
_atom_site_fract_y
_atom_site_fract_z
Ac1 Ac 0.000 0.000 0.000
Tb1 Tb 0.513 0.513 0.513
Ho1 Ho 0.206 0.206 0.206
Ho2 Ho 0.713 0.713 0.713
Se1 Se 0.105 0.428 0.811
Se2 Se 0.349 0.927 0.568
Se3 Se 0.428 0.811 0.105
Se4 Se 0.568 0.349 0.927
Se5 Se 0.811 0.105 0.428
Se6 Se 0.927 0.568 0.349


No. 7
# AcTb2HoSe6 (PBE-GGA, relaxed)
# calculated volume	30.92	A^3/atom
# E_form (uncorrected)	-1878	meV/atom
# total moment	0.0	μB per formula unit
# space-group type	No. 146
# crystal system	trigonal
data_AcTb2HoSe6
_chemical_formula_sum 'Ac1 Tb2 Ho1 Se6'
_cell_length_a 7.803
_cell_length_b 7.803
_cell_length_c 7.803
_cell_angle_alpha 56.54
_cell_angle_beta 56.54
_cell_angle_gamma 56.54
_symmetry_space_group_name_H-M 'P 1'
_symmetry_Int_Tables_number 1
loop_
_symmetry_equiv_pos_as_xyz
'x,y,z'
loop_
_atom_site_label
_atom_site_type_symbol
_atom_site_fract_x
_atom_site_fract_y
_atom_site_fract_z
Ac1 Ac 0.000 0.000 0.000
Tb1 Tb 0.205 0.205 0.205
Tb2 Tb 0.713 0.713 0.713
Ho1 Ho 0.513 0.513 0.513
Se1 Se 0.112 0.424 0.803
Se2 Se 0.345 0.922 0.571
Se3 Se 0.424 0.803 0.112
Se4 Se 0.571 0.345 0.922
Se5 Se 0.803 0.112 0.424
Se6 Se 0.922 0.571 0.345


No. 8
# Ac3HoTl4Se8 (PBE-GGA, relaxed)
# calculated volume	33.51	A^3/atom
# E_form (uncorrected)	-1411	meV/atom
# total moment	0.0	μB per formula unit
# space-group type	No. 166
# crystal system	trigonal
data_Ac3HoTl4Se8
_chemical_formula_sum 'Ac3 Ho1 Tl4 Se8'
_cell_length_a 9.299
_cell_length_b 9.299
_cell_length_c 9.299
_cell_angle_alpha 57.53
_cell_angle_beta 57.53
_cell_angle_gamma 57.53
_symmetry_space_group_name_H-M 'P 1'
_symmetry_Int_Tables_number 1
loop_
_symmetry_equiv_pos_as_xyz
'x,y,z'
loop_
_atom_site_label
_atom_site_type_symbol
_atom_site_fract_x
_atom_site_fract_y
_atom_site_fract_z
Ac1 Ac 0.000 0.500 0.500
Ac2 Ac 0.500 0.000 0.500
Ac3 Ac 0.500 0.500 0.000
Ho1 Ho 0.000 0.000 0.000
Tl1 Tl 0.000 0.000 0.500
Tl2 Tl 0.000 0.500 0.000
Tl3 Tl 0.500 0.000 0.000
Tl4 Tl 0.500 0.500 0.500
Se1 Se 0.228 0.228 0.756
Se2 Se 0.228 0.756 0.228
Se3 Se 0.244 0.772 0.772
Se4 Se 0.260 0.260 0.260
Se5 Se 0.740 0.740 0.740
Se6 Se 0.756 0.228 0.228
Se7 Se 0.772 0.244 0.772
Se8 Se 0.772 0.772 0.244


No. 9
# AcHo2TmSe4 (PBE-GGA, relaxed)
# calculated volume	25.43	A^3/atom
# E_form (uncorrected)	-1700	meV/atom
# total moment	0.0	μB per formula unit
# space-group type	No. 10
# crystal system	monoclinic
data_AcHo2TmSe4
_chemical_formula_sum 'Ac1 Ho2 Tm1 Se4'
_cell_length_a 7.085
_cell_length_b 4.064
_cell_length_c 7.444
_cell_angle_alpha 90.00
_cell_angle_beta 108.33
_cell_angle_gamma 90.00
_symmetry_space_group_name_H-M 'P 1'
_symmetry_Int_Tables_number 1
loop_
_symmetry_equiv_pos_as_xyz
'x,y,z'
loop_
_atom_site_label
_atom_site_type_symbol
_atom_site_fract_x
_atom_site_fract_y
_atom_site_fract_z
Ac1 Ac 0.000 0.000 0.000
Ho1 Ho 0.500 0.000 0.500
Ho2 Ho 0.500 0.500 0.000
Tm1 Tm 0.000 0.500 0.500
Se1 Se 0.255 0.000 0.736
Se2 Se 0.268 0.500 0.273
Se3 Se 0.732 0.500 0.727
Se4 Se 0.745 0.000 0.264


No. 10
# AcHo2TmSe6 (PBE-GGA, relaxed)
# calculated volume	30.26	A^3/atom
# E_form (uncorrected)	-1870	meV/atom
# total moment	0.0	μB per formula unit
# space-group type	No. 146
# crystal system	trigonal
data_AcHo2TmSe6
_chemical_formula_sum 'Ac1 Ho2 Tm1 Se6'
_cell_length_a 7.747
_cell_length_b 7.747
_cell_length_c 7.747
_cell_angle_alpha 56.56
_cell_angle_beta 56.56
_cell_angle_gamma 56.56
_symmetry_space_group_name_H-M 'P 1'
_symmetry_Int_Tables_number 1
loop_
_symmetry_equiv_pos_as_xyz
'x,y,z'
loop_
_atom_site_label
_atom_site_type_symbol
_atom_site_fract_x
_atom_site_fract_y
_atom_site_fract_z
Ac1 Ac 0.000 0.000 0.000
Ho1 Ho 0.286 0.286 0.286
Ho2 Ho 0.794 0.794 0.794
Tm1 Tm 0.485 0.485 0.485
Se1 Se 0.075 0.651 0.433
Se2 Se 0.196 0.572 0.887
Se3 Se 0.433 0.075 0.651
Se4 Se 0.572 0.887 0.196
Se5 Se 0.651 0.433 0.075
Se6 Se 0.887 0.196 0.572


Copy entry 10 word for word.
# AcHo2TmSe6 (PBE-GGA, relaxed)
# calculated volume	30.26	A^3/atom
# E_form (uncorrected)	-1870	meV/atom
# total moment	0.0	μB per formula unit
# space-group type	No. 146
# crystal system	trigonal
data_AcHo2TmSe6
_chemical_formula_sum 'Ac1 Ho2 Tm1 Se6'
_cell_length_a 7.747
_cell_length_b 7.747
_cell_length_c 7.747
_cell_angle_alpha 56.56
_cell_angle_beta 56.56
_cell_angle_gamma 56.56
_symmetry_space_group_name_H-M 'P 1'
_symmetry_Int_Tables_number 1
loop_
_symmetry_equiv_pos_as_xyz
'x,y,z'
loop_
_atom_site_label
_atom_site_type_symbol
_atom_site_fract_x
_atom_site_fract_y
_atom_site_fract_z
Ac1 Ac 0.000 0.000 0.000
Ho1 Ho 0.286 0.286 0.286
Ho2 Ho 0.794 0.794 0.794
Tm1 Tm 0.485 0.485 0.485
Se1 Se 0.075 0.651 0.433
Se2 Se 0.196 0.572 0.887
Se3 Se 0.433 0.075 0.651
Se4 Se 0.572 0.887 0.196
Se5 Se 0.651 0.433 0.075
Se6 Se 0.887 0.196 0.572